1.
The following is a PBE calculation of a geometry-optimized Tm3Co2Ge4 structure, from OQMD via LeMat-Bulk.

The structure in extended XYZ format:
```
9
Lattice="5.2352 -2.0675 0.0000 5.2352 2.0675 0.0000 -2.4086 0.0000 7.5491" Properties=species:S:1:pos:R:3 pbc="T T T"
Co 2.9311 0.0000 0.9688
Co 5.1307 0.0000 6.5803
Ge 9.2309 0.0000 0.7597
Ge 2.0344 0.0000 3.1720
Ge 6.0274 0.0000 4.3772
Ge -1.1691 0.0000 6.7894
Tm 6.0638 0.0000 1.4565
Tm -1.2043 0.0000 3.7746
Tm 1.9980 0.0000 6.0926
```

M_tot (Bohr magnetons per cell): 0.0
V (A^3/atom): 18.16
Raw total energy (Ha/atom): -0.2143



2.
The following is a PBE calculation of a geometry-optimized PmPd structure, from OQMD via LeMat-Bulk.

The structure in extended XYZ format:
```
2
Lattice="3.9668 1.5297 1.6584 0.1472 3.9465 2.2866 0.7418 0.0018 4.5028" Properties=species:S:1:pos:R:3 pbc="T T T"
Pd 0.0000 0.0000 0.0000
Pm 1.2140 1.3695 2.1120
```

M_tot (Bohr magnetons per cell): 0.6
Formation energy (meV/atom): -91.7
V (A^3/atom): 33.60
Raw total energy (Ha/atom): -0.1857



3.
The following is a PBE calculation of a geometry-optimized AlReSi6Au structure, from OQMD via LeMat-Bulk.

The structure in extended XYZ format:
```
9
Lattice="0.0000 4.7917 4.7917 4.7917 0.0000 4.7917 4.7917 4.7917 0.0000" Properties=species:S:1:pos:R:3 pbc="T T T"
Al 0.0000 0.0000 0.0000
Au 2.3959 2.3959 2.3959
Re 7.1876 7.1876 7.1876
Si 4.8408 7.1876 7.1876
Si 7.1876 4.8408 7.1876
Si 7.1876 7.1876 9.5343
Si 7.1876 7.1876 4.8408
Si 7.1876 9.5343 7.1876
Si 9.5343 7.1876 7.1876
```

M_tot (Bohr magnetons per cell): 0.0
V (A^3/atom): 24.45
Raw total energy (Ha/atom): -0.1761



4.
The following is a PBE calculation of a geometry-optimized LiCuTe2PdSe structure, from OQMD via LeMat-Bulk.

The structure in extended XYZ format:
```
12
Lattice="4.6043 4.1327 2.4076 -6.1281 -0.5094 -2.5024 -3.7591 -1.3330 9.4769" Properties=species:S:1:pos:R:3 pbc="T T T"
Cu 3.1717 3.5863 4.5514
Cu -8.4546 -1.2959 4.8307
Li -4.5992 0.2251 0.9962
Li -0.6837 2.0652 8.3859
Pd -0.7619 1.8117 -0.0474
Pd -2.6415 1.1452 4.6910
Se -0.9955 1.7839 2.6449
Se -4.2874 0.5065 6.7372
Te 2.9027 3.4057 1.9733
Te 1.2542 2.8211 6.1292
Te -6.5371 -0.5308 3.2529
Te -8.1856 -1.1154 7.4088
```

V (A^3/atom): 21.36
Raw total energy (Ha/atom): -0.1386



5.
The following is a PBE calculation of a geometry-optimized ScOs structure, from OQMD via LeMat-Bulk.

The structure in extended XYZ format:
```
2
Lattice="-0.8042 -2.9278 -0.2067 2.9350 0.7561 0.2749 -0.3411 -0.2028 4.1997" Properties=species:S:1:pos:R:3 pbc="T T T"
Os 0.1864 -1.8520 3.1036
Sc 1.6033 -0.5226 1.1643
```

M_tot (Bohr magnetons per cell): 0.0
Formation energy (meV/atom): -9.9
V (A^3/atom): 16.92
Raw total energy (Ha/atom): -0.3229



6.
The following is a PBE calculation of a geometry-optimized Sc4FeCoC2 structure, from OQMD via LeMat-Bulk.

The structure in extended XYZ format:
```
8
Lattice="-2.3688 -1.6631 -1.4575 3.0815 -0.9501 -0.3215 -1.2579 -7.7730 10.9140" Properties=species:S:1:pos:R:3 pbc="T T T"
C 0.9414 -3.1854 2.1046
C 0.3300 -6.9632 7.4090
Co -1.1810 -5.3119 4.3782
Fe 0.0000 0.0000 0.0000
Sc -0.7596 -2.7079 0.7219
Sc -0.4438 -2.7423 3.8505
Sc -0.8141 -5.0307 7.0635
Sc -1.6025 -7.9160 8.0344
```

M_tot (Bohr magnetons per cell): 2.6
V (A^3/atom): 15.30
Raw total energy (Ha/atom): -0.2760